(1)
First-principles (PBE) data for Co2PIr after structural relaxation, as listed in Alexandria.

Computed properties:
DFT total energy: -6.85 eV per atom
DOS at the Fermi energy: 4.5 states/eV/cell

a b c (Å): 2.719 2.719 7.876
angles (deg): 90.00 90.00 118.37
Each line ends with the local moment (μB).
Atoms (fractional coordinates):
Co 0.000 0.000 0.981  1.04
Co 0.500 0.500 0.236  1.92
Ir 0.000 0.000 0.518  0.13
P 0.500 0.500 0.765  -0.01

=====

(2)
First-principles (PBE) data for CoP2Ir after structural relaxation, as listed in Alexandria.

Computed properties:
DFT total energy: -6.44 eV per atom
energy relative to the lowest polymorph listed for this composition: 14.91 kcal/mol of atoms
DOS at the Fermi energy: 3.6 states/eV/cell

a b c (Å): 2.861 2.861 7.664
angles (deg): 90.00 90.00 122.29
Atoms (fractional coordinates):
Co 0.500 0.500 0.250
Ir 0.500 0.500 0.750
P 0.000 0.000 0.016
P 0.000 0.000 0.484